{"formula": "BaLaMnO4", "functional": "GGA+U", "state": "optimized geometry", "lattice": [[3.994, 0.000, 0.000], [0.000, 3.994, 0.000], [-1.997, -1.997, 6.534]], "species": ["Ba", "La", "Mn", "O", "O", "O", "O"], "fractional_positions": [[0.645, 0.645, 0.289], [0.361, 0.361, 0.722], [0.997, 0.997, 0.994], [0.989, 0.489, 0.977], [0.489, 0.989, 0.977], [0.840, 0.840, 0.680], [0.180, 0.180, 0.360]], "dft_energy_ev_per_atom": -7.442, "m_tot_mub_per_fu": 4.00, "space_group": "I4mm, No. 107", "rho_g_cm3": 6.29}